Entry 1:
The following is a DFT calculation (PBE-GGA) of Pu4IrPt after structural relaxation.

Computed properties:
space group	C2/m, No. 12
density of states at the Fermi level	3.82	states/eV/atom
magnetic moment	22.61	Bohr magnetons per cell
offset from the most stable computed form	0	meV per atom
energy relative to the elements	-0.34	eV per atom

Cell and atoms, written as extended XYZ:
```
6
Lattice="3.395 -3.395 0.000 3.395 3.395 0.000 -0.059 0.000 6.831" Properties=species:S:1:pos:R:3 pbc="T T T"
Pu 1.680 1.693 1.670
Pu 5.052 -1.693 5.161
Pu 1.680 -1.693 1.670
Pu 5.052 1.693 5.161
Ir 3.395 0.000 0.000
Pt -0.029 0.000 3.416
```

Entry 2:
The following is a DFT calculation (PBE-GGA) of PuScIrPt after structural relaxation.

Computed properties:
space group	F-43m, No. 216
density of states at the Fermi level	2.25	states/eV/atom
magnetic moment	5.17	Bohr magnetons per cell
energy relative to the elements	-0.76	eV per atom

Cell and atoms, written as extended XYZ:
```
4
Lattice="0.000 3.376 3.376 3.376 0.000 3.376 3.376 3.376 0.000" Properties=species:S:1:pos:R:3 pbc="T T T"
Pu 0.000 0.000 0.000
Sc 3.376 3.376 3.376
Ir 1.688 1.688 1.688
Pt 5.064 5.064 5.064
```

Entry 3:
The following is a DFT calculation (PBE-GGA) of SmPuIrPt after structural relaxation.

Computed properties:
space group	F-43m, No. 216
density of states at the Fermi level	2.57	states/eV/atom
magnetic moment	5.24	Bohr magnetons per cell
energy relative to the elements	-0.70	eV per atom

Cell and atoms, written as extended XYZ:
```
4
Lattice="0.000 3.502 3.502 3.502 0.000 3.502 3.502 3.502 0.000" Properties=species:S:1:pos:R:3 pbc="T T T"
Sm 0.000 0.000 0.000
Pu 3.502 3.502 3.502
Ir 1.751 1.751 1.751
Pt 5.252 5.252 5.252
```

Entry 4:
The following is a DFT calculation (PBE-GGA) of PuSnIrPt after structural relaxation.

Computed properties:
space group	F-43m, No. 216
density of states at the Fermi level	2.05	states/eV/atom
magnetic moment	4.56	Bohr magnetons per cell
energy relative to the elements	-0.41	eV per atom

Cell and atoms, written as extended XYZ:
```
4
Lattice="0.000 3.394 3.394 3.394 0.000 3.394 3.394 3.394 0.000" Properties=species:S:1:pos:R:3 pbc="T T T"
Pu 0.000 0.000 0.000
Sn 3.394 3.394 3.394
Ir 5.091 5.091 5.091
Pt 1.697 1.697 1.697
```

Entry 5:
The following is a DFT calculation (PBE-GGA) of TbPuIrPt after structural relaxation.

Computed properties:
space group	F-43m, No. 216
density of states at the Fermi level	2.51	states/eV/atom
magnetic moment	5.22	Bohr magnetons per cell
energy relative to the elements	-0.76	eV per atom

Cell and atoms, written as extended XYZ:
```
4
Lattice="0.000 3.472 3.472 3.472 0.000 3.472 3.472 3.472 0.000" Properties=species:S:1:pos:R:3 pbc="T T T"
Tb 0.000 0.000 0.000
Pu 3.472 3.472 3.472
Ir 5.209 5.209 5.209
Pt 1.736 1.736 1.736
```

Entry 6:
The following is a DFT calculation (PBE-GGA) of PuUIrPt after structural relaxation.

Computed properties:
space group	F-43m, No. 216
density of states at the Fermi level	0.92	states/eV/atom
magnetic moment	5.12	Bohr magnetons per cell
offset from the most stable computed form	0	meV per atom
energy relative to the elements	-0.67	eV per atom

Cell and atoms, written as extended XYZ:
```
4
Lattice="0.000 3.314 3.314 3.314 0.000 3.314 3.314 3.314 0.000" Properties=species:S:1:pos:R:3 pbc="T T T"
Pu 0.000 0.000 0.000
U 1.657 1.657 1.657
Ir 3.314 3.314 3.314
Pt 4.971 4.971 4.971
```

Entry 7:
The following is a DFT calculation (PBE-GGA) of PuUIrPt after structural relaxation.

Computed properties:
space group	F-43m, No. 216
density of states at the Fermi level	3.37	states/eV/atom
magnetic moment	3.47	Bohr magnetons per cell
offset from the most stable computed form	219	meV per atom
energy relative to the elements	-0.45	eV per atom

Cell and atoms, written as extended XYZ:
```
4
Lattice="0.000 3.453 3.453 3.453 0.000 3.453 3.453 3.453 0.000" Properties=species:S:1:pos:R:3 pbc="T T T"
Pu 0.000 0.000 0.000
U 3.453 3.453 3.453
Ir 5.179 5.179 5.179
Pt 1.726 1.726 1.726
```

Entry 8:
The following is a DFT calculation (PBE-GGA) of YPuIrPt after structural relaxation.

Computed properties:
space group	F-43m, No. 216
density of states at the Fermi level	2.55	states/eV/atom
magnetic moment	5.21	Bohr magnetons per cell
energy relative to the elements	-0.75	eV per atom

Cell and atoms, written as extended XYZ:
```
4
Lattice="0.000 3.471 3.471 3.471 0.000 3.471 3.471 3.471 0.000" Properties=species:S:1:pos:R:3 pbc="T T T"
Y 0.000 0.000 0.000
Pu 3.471 3.471 3.471
Ir 5.206 5.206 5.206
Pt 1.735 1.735 1.735
```

Question: Number 1 is which compound?
Answer: Pu4IrPt

Question: What is the energy relative to the elements in the second record?
Answer: -0.76 eV per atom